# PBE Ca2Ag2Pt, optimized geometry
data_Ca2Ag2Pt
_chemical_formula_sum 'Ca4 Ag4 Pt2'
_symmetry_space_group_name_H-M 'C 1 2/m 1'
_symmetry_Int_Tables_number 12
_cell_length_a 10.566
_cell_length_b 3.899
_cell_length_c 6.046
_cell_angle_alpha 90.00
_cell_angle_beta 97.47
_cell_angle_gamma 90.00
loop_
_symmetry_equiv_pos_as_xyz
'x,y,z'
'-x,-y,-z'
'-x,y,-z'
'x,-y,z'
'x+1/2,y+1/2,z'
'-x+1/2,-y+1/2,-z'
'-x+1/2,y+1/2,-z'
'x+1/2,-y+1/2,z'
loop_
_atom_site_label
_atom_site_type_symbol
_atom_site_fract_x
_atom_site_fract_y
_atom_site_fract_z
_atom_site_occupancy
Ca1 Ca 0.186 0.000 0.222 1
Ag1 Ag 0.088 0.000 0.702 1
Pt1 Pt 0.000 0.500 0.000 1
# ΔE_f, eV/atom: -0.31
# Total DFT energy (no corrections), eV/atom: -3.459
# Size of the total moment, μB per cell: 0.0

---

# PBE Ba2YSb, optimized geometry
data_Ba2YSb
_chemical_formula_sum 'Ba4 Y2 Sb2'
_symmetry_space_group_name_H-M 'A m m 2'
_symmetry_Int_Tables_number 38
_cell_length_a 4.831
_cell_length_b 5.236
_cell_length_c 13.988
_cell_angle_alpha 90.00
_cell_angle_beta 90.00
_cell_angle_gamma 90.00
loop_
_symmetry_equiv_pos_as_xyz
'x,y,z'
'-x,-y,z'
'-x,y,z'
'x,-y,z'
'x,y+1/2,z+1/2'
'-x,-y+1/2,z+1/2'
'-x,y+1/2,z+1/2'
'x,-y+1/2,z+1/2'
loop_
_atom_site_label
_atom_site_type_symbol
_atom_site_fract_x
_atom_site_fract_y
_atom_site_fract_z
_atom_site_occupancy
Ba1 Ba 0.000 0.000 0.000 1
Ba2 Ba 0.500 0.000 0.297 1
Y1 Y 0.500 0.000 0.592 1
Sb1 Sb 0.000 0.000 0.723 1
# Total DFT energy (no corrections), eV/atom: -4.076
# Energy relative to the elements, uncorrected, meV per atom: -468
# Size of the total moment, μB per cell: 0.0

---

# PBE LaHg2Pt, optimized geometry
data_LaHg2Pt
_chemical_formula_sum 'La1 Hg2 Pt1'
_symmetry_space_group_name_H-M 'P 4/m m m'
_symmetry_Int_Tables_number 123
_symmetry_space_group_name_Hall '-P 4 2'
_cell_length_a 3.792
_cell_length_b 3.792
_cell_length_c 6.603
_cell_angle_alpha 90.00
_cell_angle_beta 90.00
_cell_angle_gamma 90.00
loop_
_atom_site_label
_atom_site_type_symbol
_atom_site_fract_x
_atom_site_fract_y
_atom_site_fract_z
_atom_site_occupancy
La1 La 0.000 0.000 0.000 1
Hg1 Hg 0.500 0.500 0.286 1
Pt1 Pt 0.000 0.000 0.500 1
# ΔE_f, eV/atom: -0.33
# Total DFT energy (no corrections), eV/atom: -3.227
# Size of the total moment, μB per cell: 0.4

---

# PBE KAgTe2, optimized geometry
data_KAgTe2
_chemical_formula_sum 'K2 Ag2 Te4'
_symmetry_space_group_name_H-M 'C 1 m 1'
_symmetry_Int_Tables_number 8
_cell_length_a 13.751
_cell_length_b 3.244
_cell_length_c 6.618
_cell_angle_alpha 90.00
_cell_angle_beta 101.30
_cell_angle_gamma 90.00
loop_
_symmetry_equiv_pos_as_xyz
'x,y,z'
'x,-y,z'
'x+1/2,y+1/2,z'
'x+1/2,-y+1/2,z'
loop_
_atom_site_label
_atom_site_type_symbol
_atom_site_fract_x
_atom_site_fract_y
_atom_site_fract_z
_atom_site_occupancy
K1 K 0.000 0.000 0.000 1
Ag1 Ag 0.350 0.500 0.344 1
Te1 Te 0.016 0.500 0.527 1
Te2 Te 0.255 0.000 0.007 1
# Total DFT energy (no corrections), eV/atom: -2.884
# Energy relative to the elements, uncorrected, meV per atom: -326
# Size of the total moment, μB per cell: 0.0

---

# PBE TbDyIn, optimized geometry
data_TbDyIn
_chemical_formula_sum 'Tb2 Dy2 In2'
_symmetry_space_group_name_H-M 'C 1 2 1'
_symmetry_Int_Tables_number 5
_cell_length_a 5.759
_cell_length_b 10.412
_cell_length_c 3.549
_cell_angle_alpha 90.00
_cell_angle_beta 127.97
_cell_angle_gamma 90.00
loop_
_symmetry_equiv_pos_as_xyz
'x,y,z'
'-x,y,-z'
'x+1/2,y+1/2,z'
'-x+1/2,y+1/2,-z'
loop_
_atom_site_label
_atom_site_type_symbol
_atom_site_fract_x
_atom_site_fract_y
_atom_site_fract_z
_atom_site_occupancy
Tb1 Tb 0.000 0.000 0.000 1
Dy1 Dy 0.000 0.689 0.000 1
In1 In 0.000 0.343 0.000 1
# ΔE_f, eV/atom: -0.27
# Total DFT energy (no corrections), eV/atom: -4.256
# Size of the total moment, μB per cell: 0.1

---

# PBE SrReF3, optimized geometry
data_SrReF3
_chemical_formula_sum 'Sr1 Re1 F3'
_symmetry_space_group_name_H-M 'P m -3 m'
_symmetry_Int_Tables_number 221
_symmetry_space_group_name_Hall '-P 4 2 3'
_cell_length_a 4.352
_cell_length_b 4.352
_cell_length_c 4.352
_cell_angle_alpha 90.00
_cell_angle_beta 90.00
_cell_angle_gamma 90.00
loop_
_atom_site_label
_atom_site_type_symbol
_atom_site_fract_x
_atom_site_fract_y
_atom_site_fract_z
_atom_site_occupancy
Sr1 Sr 0.000 0.000 0.000 1
Re1 Re 0.500 0.500 0.500 1
F1 F 0.000 0.500 0.500 1
# Total DFT energy (no corrections), eV/atom: -5.168
# Energy relative to the elements, uncorrected, meV per atom: -1219
# Size of the total moment, μB per cell: 0.0

---

# PBE TlAgSeS, optimized geometry
data_TlAgSeS
_chemical_formula_sum 'Tl3 Ag3 Se3 S3'
_symmetry_space_group_name_H-M 'R 3 m'
_symmetry_Int_Tables_number 160
_symmetry_space_group_name_Hall 'R 3 -2"'
_cell_length_a 4.3424
_cell_length_b 4.3424
_cell_length_c 20.9806
_cell_angle_alpha 90.00
_cell_angle_beta 90.00
_cell_angle_gamma 120.00
loop_
_atom_site_label
_atom_site_type_symbol
_atom_site_fract_x
_atom_site_fract_y
_atom_site_fract_z
_atom_site_occupancy
Tl1 Tl 0.0000 0.0000 0.0000 1
Ag1 Ag 0.0000 0.0000 0.4930 1
Se1 Se 0.0000 0.0000 0.1270 1
S1 S 0.0000 0.0000 0.6166 1
# Total DFT energy (no corrections), eV/atom: -3.323
# Energy relative to the elements, uncorrected, meV per atom: -116
# Size of the total moment, μB per cell: 0.0

---

# PBE Nd2Sm6Dy3, optimized geometry
data_Nd2Sm6Dy3
_chemical_formula_sum 'Nd2 Sm6 Dy3'
_symmetry_space_group_name_H-M 'P -1'
_symmetry_Int_Tables_number 2
_cell_length_a 6.266
_cell_length_b 8.059
_cell_length_c 8.088
_cell_angle_alpha 107.50
_cell_angle_beta 97.38
_cell_angle_gamma 104.81
loop_
_symmetry_equiv_pos_as_xyz
'x,y,z'
'-x,-y,-z'
loop_
_atom_site_label
_atom_site_type_symbol
_atom_site_fract_x
_atom_site_fract_y
_atom_site_fract_z
_atom_site_occupancy
Nd1 Nd 0.228 0.409 0.047 1
Sm1 Sm 0.045 0.683 0.411 1
Sm2 Sm 0.137 0.046 0.230 1
Sm3 Sm 0.319 0.774 0.863 1
Dy1 Dy 0.410 0.136 0.680 1
Dy2 Dy 0.500 0.500 0.500 1
# ΔE_f, eV/atom: 0.01
# Total DFT energy (no corrections), eV/atom: -4.682
# Size of the total moment, μB per cell: 0.0

---

# PBE Sb3Pt, optimized geometry
data_Sb3Pt
_chemical_formula_sum 'Sb3 Pt1'
_symmetry_space_group_name_H-M 'P 4/m m m'
_symmetry_Int_Tables_number 123
_symmetry_space_group_name_Hall '-P 4 2'
_cell_length_a 3.247
_cell_length_b 3.247
_cell_length_c 9.222
_cell_angle_alpha 90.00
_cell_angle_beta 90.00
_cell_angle_gamma 90.00
loop_
_atom_site_label
_atom_site_type_symbol
_atom_site_fract_x
_atom_site_fract_y
_atom_site_fract_z
_atom_site_occupancy
Sb1 Sb 0.000 0.000 0.000 1
Sb2 Sb 0.500 0.500 0.306 1
Pt1 Pt 0.000 0.000 0.500 1
# Total DFT energy (no corrections), eV/atom: -4.607
# Energy relative to the elements, uncorrected, meV per atom: -5
# Size of the total moment, μB per cell: 0.0

---

# PBE CaPr2Ho, optimized geometry
data_CaPr2Ho
_chemical_formula_sum 'Ca1 Pr2 Ho1'
_symmetry_space_group_name_H-M 'P 4/m m m'
_symmetry_Int_Tables_number 123
_symmetry_space_group_name_Hall '-P 4 2'
_cell_length_a 3.682
_cell_length_b 3.682
_cell_length_c 10.581
_cell_angle_alpha 90.00
_cell_angle_beta 90.00
_cell_angle_gamma 90.00
loop_
_atom_site_label
_atom_site_type_symbol
_atom_site_fract_x
_atom_site_fract_y
_atom_site_fract_z
_atom_site_occupancy
Ca1 Ca 0.000 0.000 0.000 1
Pr1 Pr 0.500 0.500 0.266 1
Ho1 Ho 0.000 0.000 0.500 1
# ΔE_f, eV/atom: 0.04
# Total DFT energy (no corrections), eV/atom: -3.996
# Size of the total moment, μB per cell: 0.0

---

# PBE Rb2NaAu, optimized geometry
data_Rb2NaAu
_chemical_formula_sum 'Rb6 Na3 Au3'
_symmetry_space_group_name_H-M 'R -3 m'
_symmetry_Int_Tables_number 166
_symmetry_space_group_name_Hall '-R 3 2"'
_cell_length_a 4.6170
_cell_length_b 4.6170
_cell_length_c 36.7933
_cell_angle_alpha 90.00
_cell_angle_beta 90.00
_cell_angle_gamma 120.00
loop_
_atom_site_label
_atom_site_type_symbol
_atom_site_fract_x
_atom_site_fract_y
_atom_site_fract_z
_atom_site_occupancy
Rb1 Rb 0.0000 0.0000 0.1084 1
Na1 Na 0.0000 0.0000 0.0000 1
Au1 Au 0.0000 0.0000 0.5000 1
# ΔE_f, eV/atom: -0.05
# Total DFT energy (no corrections), eV/atom: -1.684
# Size of the total moment, μB per cell: 0.0

---

# PBE RbInCu2, optimized geometry
data_RbInCu2
_chemical_formula_sum 'Rb4 In4 Cu8'
_symmetry_space_group_name_H-M 'I 41/a m d'
_symmetry_Int_Tables_number 141
_cell_length_a 5.198
_cell_length_b 5.198
_cell_length_c 17.982
_cell_angle_alpha 90.00
_cell_angle_beta 90.00
_cell_angle_gamma 90.00
loop_
_symmetry_equiv_pos_as_xyz
'x,y,z'
'-x,-y,-z'
'-y+1/4,x+3/4,z+1/4'
'y+1/4,-x+3/4,-z+1/4'
'-x+1/2,-y,z+1/2'
'x+1/2,y,-z+1/2'
'y+1/4,-x+1/4,z+3/4'
'-y+1/4,x+1/4,-z+3/4'
'x,-y,-z'
'-x,y,z'
'-y+1/4,-x+1/4,-z+3/4'
'y+1/4,x+1/4,z+3/4'
'-x+1/2,y,-z+1/2'
'x+1/2,-y,z+1/2'
'y+1/4,x+3/4,-z+1/4'
'-y+1/4,-x+3/4,z+1/4'
'x+1/2,y+1/2,z+1/2'
'-x+1/2,-y+1/2,-z+1/2'
'-y+3/4,x+1/4,z+3/4'
'y+3/4,-x+1/4,-z+3/4'
'-x,-y+1/2,z'
'x,y+1/2,-z'
'y+3/4,-x+3/4,z+1/4'
'-y+3/4,x+3/4,-z+1/4'
'x+1/2,-y+1/2,-z+1/2'
'-x+1/2,y+1/2,z+1/2'
'-y+3/4,-x+3/4,-z+1/4'
'y+3/4,x+3/4,z+1/4'
'-x,y+1/2,-z'
'x,-y+1/2,z'
'y+3/4,x+1/4,-z+3/4'
'-y+3/4,-x+1/4,z+3/4'
loop_
_atom_site_label
_atom_site_type_symbol
_atom_site_fract_x
_atom_site_fract_y
_atom_site_fract_z
_atom_site_occupancy
Rb1 Rb 0.000 0.250 0.375 1
In1 In 0.000 0.250 0.875 1
Cu1 Cu 0.000 0.000 0.000 1
# ΔE_f, eV/atom: 0.28
# Total DFT energy (no corrections), eV/atom: -2.690
# Size of the total moment, μB per cell: 0.0